(1)
A plane-wave DFT calculation with PBE-GGA was carried out for a relaxed structure of Ni2SeS.

It has space group R3m (No. 160, hexagonal axes), with a = 3.4768 Å, b = 3.4768 Å, c = 16.9822 Å, α = 90.00°, β = 90.00° and γ = 120.00°. The inequivalent atoms are Ni at (0.0000, 0.0000, 0.0000), Ni at (0.0000, 0.0000, 0.1639), Se at (0.0000, 0.0000, 0.7472) and S at (0.0000, 0.0000, 0.5685).

As for the energy above the most stable polymorph in this dataset: 0.835 eV/f.u. As for the energy: -4.863 eV/atom. Its raw formation energy is -0.070 eV/atom. The value obtained for the theoretical density is 6.4 g/cm³. The density of states at the Fermi level is 10.6 states/eV/cell.

=====

(2)
A plane-wave DFT calculation with PBE-GGA was carried out for a relaxed structure of ZrSbTeH.

It has space group R3m (No. 160, hexagonal axes), with a = 3.5184 Å, b = 3.5184 Å, c = 24.9409 Å, α = 90.00°, β = 90.00° and γ = 120.00°. The inequivalent atoms are Zr at (0.0000, 0.0000, 0.0000), Sb at (0.0000, 0.0000, 0.5678), Te at (0.0000, 0.0000, 0.7510) and H at (0.0000, 0.0000, 0.3264).

As for the energy: -5.280 eV/atom. The value obtained for the theoretical density is 6.4 g/cm³. The density of states at the Fermi level is 6.5 states/eV/cell.

=====

(3)
A plane-wave DFT calculation with PBE-GGA was carried out for a relaxed structure of CrNiBi2.

It has space group I-42d (No. 122), with a = 7.598 Å, b = 7.598 Å, c = 6.371 Å, α = 90.00°, β = 90.00° and γ = 90.00°. The inequivalent atoms are Cr at (0.000, 0.000, 0.000), Ni at (0.000, 0.000, 0.500) and Bi at (0.213, 0.250, 0.625).

As for the energy above the most stable polymorph in this dataset: 0.371 eV/f.u. As for the energy: -5.285 eV/atom. The value obtained for the theoretical density is 9.5 g/cm³. As for the formation energy: 2.0 eV per formula unit. The density of states at the Fermi level is 13.3 states/eV/cell.

=====

(4)
A plane-wave DFT calculation with PBE-GGA was carried out for a relaxed structure of Na2Zn15Ga2.

It has space group R-3m (No. 166, hexagonal axes), with a = 9.1760 Å, b = 9.1760 Å, c = 13.1166 Å, α = 90.00°, β = 90.00° and γ = 120.00°. The inequivalent atoms are Na at (0.0000, 0.0000, 0.1567), Zn at (0.0000, 0.3119, 0.5000), Zn at (0.0000, 0.5000, 0.0000), Zn at (0.0075, 0.5037, 0.6564) and Ga at (0.0000, 0.0000, 0.3989).

As for the energy: -1.494 eV/atom. The value obtained for the theoretical density is 6.1 g/cm³. As for the formation energy: -0.6 eV per formula unit. The density of states at the Fermi level is 20.3 states/eV/cell.

=====

(5)
A plane-wave DFT calculation with PBE-GGA was carried out for a relaxed structure of K3MnCd2Cl9.

It has space group P-3m1 (No. 164), with a = 7.3260 Å, b = 7.3260 Å, c = 8.9840 Å, α = 90.00°, β = 90.00° and γ = 120.00°. The inequivalent atoms are K at (0.0000, 0.0000, 0.0000), K at (0.3333, 0.6667, 0.6702), Mn at (0.0000, 0.0000, 0.5000), Cd at (0.3333, 0.6667, 0.1740), Cl at (0.0000, 0.5000, 0.0000) and Cl at (0.1621, 0.3243, 0.3392).

As for the energy: -3.478 eV/atom. Its raw formation energy is -1.418 eV/atom. The value obtained for the theoretical density is 2.8 g/cm³.

=====

(6)
A plane-wave DFT calculation with PBE-GGA was carried out for a relaxed structure of Be3GaPd.

It has space group Pm-3m (No. 221), with a = 4.121 Å, b = 4.121 Å, c = 4.121 Å, α = 90.00°, β = 90.00° and γ = 90.00°. The inequivalent atoms are Be at (0.000, 0.000, 0.500), Ga at (0.000, 0.000, 0.000) and Pd at (0.500, 0.500, 0.500).

As for the energy above the most stable polymorph in this dataset: 1.342 eV/f.u. As for the energy: -3.186 eV/atom. The value obtained for the theoretical density is 4.8 g/cm³. As for the formation energy: 3.5 eV per formula unit. The density of states at the Fermi level is 1.0 states/eV/cell.

=====

(7)
A plane-wave DFT calculation with PBE-GGA was carried out for a relaxed structure of AuSeS2.

It has space group R-3m (No. 166, hexagonal axes), with a = 3.8141 Å, b = 3.8141 Å, c = 21.9912 Å, α = 90.00°, β = 90.00° and γ = 120.00°. The inequivalent atoms are Au at (0.0000, 0.0000, 0.0000), Se at (0.0000, 0.0000, 0.5000) and S at (0.0000, 0.0000, 0.3932).

As for the energy: -3.510 eV/atom. Its raw formation energy is 0.244 eV/atom. The value obtained for the theoretical density is 6.1 g/cm³. The density of states at the Fermi level is 7.0 states/eV/cell.

=====

(8)
A plane-wave DFT calculation with PBE-GGA was carried out for a relaxed structure of Cs4H2F5.

It has space group P2/m (No. 10), with a = 8.546 Å, b = 4.067 Å, c = 9.278 Å, α = 90.00°, β = 98.94° and γ = 90.00°. The inequivalent atoms are Cs at (0.048, 0.000, 0.237), Cs at (0.449, 0.000, 0.710), H at (0.248, 0.500, 0.000), F at (0.216, 0.500, 0.874), F at (0.276, 0.500, 0.126) and F at (0.500, 0.500, 0.500).

As for the energy: -3.860 eV/atom. The value obtained for the theoretical density is 3.3 g/cm³. The density of states at the Fermi level is 1.4 states/eV/cell.

=====

Question: Which of these has the lowest energy?
Answer: CrNiBi2